Er5SiSe4 | PBE | optimized geometry

Calculated values
* VASP energy: -5.81 eV per atom
* uncorrected formation energy: -36.71 kcal/mol of atoms
* magnetic moment: 0.0 μB/cell

abc: 7.0356 7.0356 7.0356
angles: 99.47 99.47 132.15
Positions (direct):
1 Er 0.0000 0.0000 0.0000
2 Er 0.2125 0.5964 0.8089
3 Er 0.4036 0.2125 0.6161
4 Er 0.5964 0.7875 0.3839
5 Er 0.7875 0.4036 0.1911
6 Si 0.5000 0.5000 0.0000
7 Se 0.0968 0.3030 0.3998
8 Se 0.3030 0.9032 0.2062
9 Se 0.6970 0.0968 0.7938
10 Se 0.9032 0.6970 0.6002